1.
LiCeNp2S5: relaxed, PBE.

POSCAR file:
```
LiCeNp2S5
1.0
6.9669 0.0000 0.0000
0.0000 6.9669 0.0000
0.0000 0.0000 7.5881
Li Ce Np S
2 2 4 10
Direct
0.0000 0.0000 0.0000
0.5000 0.5000 0.0000
0.0000 0.5000 0.0000
0.5000 0.0000 0.0000
0.1202 0.3798 0.5000
0.3798 0.8798 0.5000
0.6202 0.1202 0.5000
0.8798 0.6202 0.5000
0.0000 0.0000 0.5000
0.1967 0.6967 0.2343
0.1967 0.6967 0.7657
0.3033 0.1967 0.2343
0.3033 0.1967 0.7657
0.5000 0.5000 0.5000
0.6967 0.8033 0.2343
0.6967 0.8033 0.7657
0.8033 0.3033 0.2343
0.8033 0.3033 0.7657
```

## Properties
Energy relative to the elements, uncorrected = -111.3 kJ per mole of atoms
N(E_F) = 1.6348 states/eV/atom



2.
LiCe2NpS4: relaxed, PBE.

POSCAR file:
```
LiCe2NpS4
1.0
6.7912 0.0000 0.0000
0.0000 3.9772 0.0000
-2.3659 0.0000 6.4777
Li Ce Np S
1 2 1 4
Direct
0.0000 0.0000 0.0000
0.5000 0.0000 0.5000
0.5000 0.5000 0.0000
0.0000 0.5000 0.5000
0.2370 0.0000 0.7497
0.2369 0.5000 0.2412
0.7630 0.0000 0.2503
0.7631 0.5000 0.7588
```

## Properties
Energy relative to the elements, uncorrected = -164.4 kJ per mole of atoms
N(E_F) = 1.8729 states/eV/atom



3.
Li2CeNpS4: relaxed, PBE.

POSCAR file:
```
Li2CeNpS4
1.0
6.5898 0.0000 0.0000
0.0000 3.9855 0.0000
-2.4206 0.0000 6.4568
Li Ce Np S
2 1 1 4
Direct
0.0000 0.0000 0.0000
0.0000 0.5000 0.5000
0.5000 0.0000 0.5000
0.5000 0.5000 0.0000
0.2431 0.5000 0.2432
0.2476 0.0000 0.7543
0.7524 0.0000 0.2457
0.7569 0.5000 0.7568
```

## Properties
Energy relative to the elements, uncorrected = -149.0 kJ per mole of atoms
N(E_F) = 1.6260 states/eV/atom



4.
Li4CeNp3S8: relaxed, PBE.

POSCAR file:
```
Li4CeNp3S8
1.0
3.9542 2.2829 6.1551
-3.9542 2.2829 6.1551
0.0000 -4.5659 6.1551
Li Ce Np S
4 1 3 8
Direct
0.0000 0.0000 0.0000
0.0000 0.5000 0.5000
0.5000 0.0000 0.5000
0.5000 0.5000 0.0000
0.5000 0.5000 0.5000
0.0000 0.0000 0.5000
0.0000 0.5000 0.0000
0.5000 0.0000 0.0000
0.2458 0.2458 0.7534
0.2458 0.7534 0.2458
0.2466 0.7542 0.7542
0.2496 0.2496 0.2496
0.7504 0.7504 0.7504
0.7534 0.2458 0.2458
0.7542 0.2466 0.7542
0.7542 0.7542 0.2466
```

## Properties
Energy relative to the elements, uncorrected = -140.7 kJ per mole of atoms
N(E_F) = 1.8931 states/eV/atom



5.
Li2Ce2NpS6: relaxed, PBE.

POSCAR file:
```
Li2Ce2NpS6
1.0
3.6127 2.0858 6.6289
-3.6127 2.0858 6.6289
0.0000 -4.1716 6.6289
Li Ce Np S
2 2 1 6
Direct
0.0763 0.0763 0.0763
0.9237 0.9237 0.9237
0.3108 0.3108 0.3108
0.6892 0.6892 0.6892
0.5000 0.5000 0.5000
0.2529 0.2529 0.7139
0.2529 0.7139 0.2529
0.2861 0.7471 0.7471
0.7139 0.2529 0.2529
0.7471 0.2861 0.7471
0.7471 0.7471 0.2861
```

## Properties
Energy relative to the elements, uncorrected = -121.8 kJ per mole of atoms
N(E_F) = 1.8275 states/eV/atom



6.
LiCe2NpSe4: relaxed, PBE.

POSCAR file:
```
LiCe2NpSe4
1.0
7.0969 0.0000 0.0000
0.0000 4.1562 0.0000
-2.4612 0.0000 6.7818
Li Ce Np Se
1 2 1 4
Direct
0.0000 0.0000 0.0000
0.5000 0.0000 0.5000
0.5000 0.5000 0.0000
0.0000 0.5000 0.5000
0.2364 0.5000 0.2398
0.2378 0.0000 0.7517
0.7622 0.0000 0.2483
0.7636 0.5000 0.7602
```

## Properties
Energy relative to the elements, uncorrected = -146.3 kJ per mole of atoms
N(E_F) = 2.3647 states/eV/atom



7.
Li2CeNp3Se6: relaxed, PBE.

POSCAR file:
```
Li2CeNp3Se6
1.0
8.9414 -2.0588 0.0000
8.9414 2.0588 0.0000
-1.8677 0.0000 7.9806
Li Ce Np Se
2 1 3 6
Direct
0.1745 0.1745 0.3475
0.8255 0.8255 0.6525
0.5000 0.5000 0.0000
0.1666 0.1666 0.8290
0.5000 0.5000 0.5000
0.8334 0.8334 0.1710
0.0033 0.0033 0.2569
0.3315 0.3315 0.9129
0.3326 0.3326 0.4205
0.6674 0.6674 0.5795
0.6685 0.6685 0.0871
0.9967 0.9967 0.7431
```

## Properties
Energy relative to the elements, uncorrected = -124.0 kJ per mole of atoms
N(E_F) = 2.5938 states/eV/atom



8.
LiCeNpSe3: relaxed, PBE.

POSCAR file:
```
LiCeNpSe3
1.0
8.4815 0.0000 0.0000
0.0000 4.0488 0.0000
-2.0243 0.0000 8.6534
Li Ce Np Se
2 2 2 6
Direct
0.0877 0.2500 0.0832
0.9123 0.7500 0.9168
0.1822 0.2500 0.7214
0.8178 0.7500 0.2786
0.3343 0.7500 0.3399
0.6657 0.2500 0.6601
0.0950 0.2500 0.3669
0.2203 0.7500 0.9971
0.4276 0.7500 0.6759
0.5724 0.2500 0.3241
0.7797 0.2500 0.0029
0.9050 0.7500 0.6331
```

## Properties
Energy relative to the elements, uncorrected = -132.2 kJ per mole of atoms
N(E_F) = 2.7112 states/eV/atom